[1]
## BaCo2Ir (PBE)

Data for a relaxed BaCo2Ir crystal.

a = 4.7576 Å, b = 4.7576 Å, c = 3.1096 Å
α = 90.00°, β = 90.00°, γ = 90.01°
With the nearest neighbours (Å) after each atom.
Fractional coordinates of all 4 atoms:
1 Ba 0.0000 0.5000 0.5000  8 Co 2.84, 2 Ba 3.11
2 Co 0.0000 0.0000 0.0000  4 Ir 2.84, 4 Ba 2.84, 2 Co 3.11
3 Co 0.5000 0.5000 0.0000  4 Ba 2.84, 4 Ir 2.84, 2 Co 3.11
4 Ir 0.5000 0.0000 0.5000  8 Co 2.84, 2 Ir 3.11

- Mass density: 10.56 Mg/m³
- Energy relative to the elements: 345 kJ/mol of formula units

---

[2]
## BaCo3Ir (PBE)

Data for a relaxed BaCo3Ir crystal.

a = 4.7683 Å, b = 4.7683 Å, c = 4.7683 Å
α = 90.00°, β = 90.00°, γ = 90.00°
With the nearest neighbours (Å) after each atom.
Fractional coordinates of all 5 atoms:
1 Ir 0.0000 0.0000 0.0000  6 Co 2.38
2 Co 0.0000 0.5000 0.0000  2 Ir 2.38
3 Co 0.0000 0.0000 0.5000  2 Ir 2.38
4 Co 0.5000 0.0000 0.0000  2 Ir 2.38
5 Ba 0.5000 0.5000 0.5000  12 Co 3.37

- Distance to the lowest polymorph of the same formula: 0.000 eV/atom
- Mass density: 7.76 Mg/m³
- Energy relative to the elements: 331 kJ/mol of formula units

---

[3]
## BaCo3Ir (PBE)

Data for a relaxed BaCo3Ir crystal.

a = 4.6827 Å, b = 4.6827 Å, c = 4.6827 Å
α = 90.00°, β = 90.00°, γ = 90.00°
With the nearest neighbours (Å) after each atom.
Fractional coordinates of all 5 atoms:
1 Ir 0.5000 0.5000 0.5000  12 Co 3.31
2 Co 0.0000 0.5000 0.0000  2 Ba 2.34
3 Co 0.0000 0.0000 0.5000  2 Ba 2.34
4 Co 0.5000 0.0000 0.0000  2 Ba 2.34
5 Ba 0.0000 0.0000 0.0000  6 Co 2.34

- Distance to the lowest polymorph of the same formula: 1.892 eV/atom
- Mass density: 8.19 Mg/m³
- Energy relative to the elements: 1244 kJ/mol of formula units

---

[4]
## BaCoIr (PBE)

Data for a relaxed BaCoIr crystal.

a = 4.7426 Å, b = 4.7426 Å, c = 4.7426 Å
α = 60.00°, β = 60.00°, γ = 60.00°
With the nearest neighbours (Å) after each atom.
Fractional coordinates of all 3 atoms:
1 Ba 0.7500 0.7500 0.7500  4 Co 2.90, 4 Ir 2.90
2 Co 0.0000 0.0000 0.0000  4 Ba 2.90
3 Ir 0.5000 0.5000 0.5000  4 Ba 2.90

- Distance to the lowest polymorph of the same formula: 1.569 eV/atom
- Mass density: 8.55 Mg/m³
- Energy relative to the elements: 472 kJ/mol of formula units

---

[5]
## BaCoIr2 (PBE)

Data for a relaxed BaCoIr2 crystal.

a = 4.2167 Å, b = 2.9682 Å, c = 6.6384 Å
α = 77.19°, β = 90.00°, γ = 90.00°
With the nearest neighbours (Å) after each atom.
Fractional coordinates of all 4 atoms:
1 Ba 0.0000 0.5527 0.5157  2 Ba 2.97, 1 Ir 3.21, 4 Co 3.26-3.27
2 Co 0.5000 0.8999 0.8253  4 Ir 2.46-2.51
3 Ir 0.0000 0.8031 0.0204  2 Co 2.46, 4 Ir 2.69
4 Ir 0.5000 0.2444 0.1386  2 Co 2.51, 4 Ir 2.69

- Mass density: 11.90 Mg/m³
- Energy relative to the elements: 171 kJ/mol of formula units

---

[6]
## BaCoIr2 (PBE)

Data for a relaxed BaCoIr2 crystal.

a = 5.0392 Å, b = 5.0392 Å, c = 8.7949 Å
α = 73.35°, β = 73.35°, γ = 90.00°
With the nearest neighbours (Å) after each atom.
Fractional coordinates of all 8 atoms:
1 Ir 0.3750 0.1250 0.2500  2 Co 2.37, 2 Ir 2.52
2 Ir 0.3750 0.6250 0.2500  2 Co 2.37, 2 Ir 2.52
3 Ir 0.3750 0.6250 0.7500  2 Co 2.37, 2 Ir 2.52
4 Ir 0.8750 0.6250 0.7500  2 Co 2.37, 2 Ir 2.52
5 Co 0.5000 0.5000 0.0000  4 Ir 2.37
6 Co 0.2500 0.7500 0.5000  4 Ir 2.37
7 Ba 0.0000 0.0000 0.0000  8 Ir 3.46, 4 Co 3.56
8 Ba 0.7500 0.2500 0.5000  8 Ir 3.46, 4 Co 3.56

- Mass density: 9.45 Mg/m³
- Energy relative to the elements: 129 kJ/mol of formula units

---

| no. | final energy (eV/atom) |
| --- | --- |
| 1 | -5.356 |
| 2 | -5.734 |
| 3 | -3.842 |
| 4 | -4.331 |
| 5 | -6.243 |
| 6 | -6.353 |